Sr2HgSe PBE relaxed; energy above the most stable polymorph in this dataset = 40 meV/atom; uncorrected formation energy = -25.58 kcal/mol of atoms; final energy = -2.897 eV/atom; space-group type = P4/mmm
1.0
3.955 0.000 0.000
0.000 3.955 0.000
0.000 0.000 7.671
Sr Hg Se
2 1 1
Cartesian
0.000 0.000 1.832
0.000 0.000 5.840
1.977 1.977 3.836
1.977 1.977 0.000